An optimized crystal structure of CrSeN2F. Source: Alexandria, functional PBE with a Hubbard U.

Cell: 3.5855 3.5855 5.0827 Å, 90.00 90.00 90.00°
Fractional positions:
1 Cr 0.0000 0.0000 0.0000
2 Se 0.0000 0.0000 0.5000
3 N 0.0000 0.5000 0.0000
4 N 0.5000 0.0000 0.0000
5 F 0.5000 0.5000 0.5000

## Properties
offset from the most stable computed form: 352 meV per atom
V: 65.3 Å³ per cell
spin magnetization: 0.0000 μB per atom